# AgW2Cl (PBE, optimized geometry)
# **ΔE_f (raw)**: 114 kJ per mole of atoms
# **Distance to the lowest polymorph of the same formula**: 89.3 kJ per mole of atoms
data_AgW2Cl
_chemical_formula_sum 'Ag2 W4 Cl2'
_symmetry_space_group_name_H-M 'P 1'
_symmetry_Int_Tables_number 1
_symmetry_space_group_name_Hall 'P 1'
_cell_length_a 3.781
_cell_length_b 3.781
_cell_length_c 10.696
_cell_angle_alpha 79.82
_cell_angle_beta 79.82
_cell_angle_gamma 90.00
loop_
_atom_site_label
_atom_site_type_symbol
_atom_site_fract_x
_atom_site_fract_y
_atom_site_fract_z
Cl1 Cl 0.250 0.750 0.500
Cl2 Cl 0.500 0.500 0.000
Ag1 Ag 0.750 0.250 0.500
Ag2 Ag 0.000 0.000 0.000
W1 W 0.649 0.125 0.250
W2 W 0.875 0.899 0.750
W3 W 0.101 0.625 0.250
W4 W 0.375 0.351 0.750



# AgWCl2 (PBE, optimized geometry)
# **ΔE_f (raw)**: 94 kJ per mole of atoms
# **Distance to the lowest polymorph of the same formula**: 89.2 kJ per mole of atoms
data_AgWCl2
_chemical_formula_sum 'Ag1 W1 Cl2'
_symmetry_space_group_name_H-M 'P 1'
_symmetry_Int_Tables_number 1
_symmetry_space_group_name_Hall 'P 1'
_cell_length_a 4.835
_cell_length_b 4.835
_cell_length_c 4.835
_cell_angle_alpha 127.28
_cell_angle_beta 127.28
_cell_angle_gamma 77.80
loop_
_atom_site_label
_atom_site_type_symbol
_atom_site_fract_x
_atom_site_fract_y
_atom_site_fract_z
Ag1 Ag 0.750 0.250 0.500
Cl1 Cl 0.000 0.000 0.000
Cl2 Cl 0.500 0.500 0.000
W1 W 0.250 0.750 0.500



# AgWCl (PBE, optimized geometry)
# **ΔE_f (raw)**: 49 kJ per mole of atoms
# **Distance to the lowest polymorph of the same formula**: 15.6 kJ per mole of atoms
data_AgWCl
_chemical_formula_sum 'Ag1 W1 Cl1'
_symmetry_space_group_name_H-M 'P 1'
_symmetry_Int_Tables_number 1
_symmetry_space_group_name_Hall 'P 1'
_cell_length_a 7.864
_cell_length_b 7.600
_cell_length_c 2.934
_cell_angle_alpha 84.17
_cell_angle_beta 74.04
_cell_angle_gamma 21.79
loop_
_atom_site_label
_atom_site_type_symbol
_atom_site_fract_x
_atom_site_fract_y
_atom_site_fract_z
W1 W 0.677 0.677 0.323
Cl1 Cl 0.307 0.307 0.693
Ag1 Ag 0.016 0.016 0.984



# AgW4Cl (PBE, optimized geometry)
# **ΔE_f (raw)**: 117 kJ per mole of atoms
data_AgW4Cl
_chemical_formula_sum 'Ag1 W4 Cl1'
_symmetry_space_group_name_H-M 'P 1'
_symmetry_Int_Tables_number 1
_symmetry_space_group_name_Hall 'P 1'
_cell_length_a 5.368
_cell_length_b 5.368
_cell_length_c 5.368
_cell_angle_alpha 60.00
_cell_angle_beta 60.00
_cell_angle_gamma 60.00
loop_
_atom_site_label
_atom_site_type_symbol
_atom_site_fract_x
_atom_site_fract_y
_atom_site_fract_z
Ag1 Ag 0.250 0.250 0.250
W1 W 0.626 0.626 0.123
W2 W 0.626 0.123 0.626
W3 W 0.626 0.626 0.626
W4 W 0.123 0.626 0.626
Cl1 Cl 0.000 0.000 0.000



# AgW2Cl (PBE, optimized geometry)
# **ΔE_f (raw)**: 88 kJ per mole of atoms
# **Distance to the lowest polymorph of the same formula**: 63.3 kJ per mole of atoms
data_AgW2Cl
_chemical_formula_sum 'Ag1 W2 Cl1'
_symmetry_space_group_name_H-M 'P 1'
_symmetry_Int_Tables_number 1
_symmetry_space_group_name_Hall 'P 1'
_cell_length_a 5.604
_cell_length_b 5.604
_cell_length_c 4.745
_cell_angle_alpha 64.93
_cell_angle_beta 64.93
_cell_angle_gamma 30.04
loop_
_atom_site_label
_atom_site_type_symbol
_atom_site_fract_x
_atom_site_fract_y
_atom_site_fract_z
Cl1 Cl 0.250 0.250 0.250
Ag1 Ag 0.750 0.750 0.750
W1 W 0.524 0.524 0.476
W2 W 0.976 0.976 0.024



# AgW2Cl (PBE, optimized geometry)
# **ΔE_f (raw)**: 36 kJ per mole of atoms
# **Distance to the lowest polymorph of the same formula**: 12.0 kJ per mole of atoms
data_AgW2Cl
_chemical_formula_sum 'Ag1 W2 Cl1'
_symmetry_space_group_name_H-M 'P 1'
_symmetry_Int_Tables_number 1
_symmetry_space_group_name_Hall 'P 1'
_cell_length_a 9.765
_cell_length_b 9.765
_cell_length_c 9.765
_cell_angle_alpha 17.11
_cell_angle_beta 17.11
_cell_angle_gamma 17.11
loop_
_atom_site_label
_atom_site_type_symbol
_atom_site_fract_x
_atom_site_fract_y
_atom_site_fract_z
Ag1 Ag 0.506 0.506 0.506
W1 W 0.003 0.003 0.003
W2 W 0.256 0.256 0.256
Cl1 Cl 0.735 0.735 0.735



# AgWCl2 (PBE, optimized geometry)
# **ΔE_f (raw)**: 97 kJ per mole of atoms
# **Distance to the lowest polymorph of the same formula**: 92.1 kJ per mole of atoms
data_AgWCl2
_chemical_formula_sum 'Ag1 W1 Cl2'
_symmetry_space_group_name_H-M 'P 1'
_symmetry_Int_Tables_number 1
_symmetry_space_group_name_Hall 'P 1'
_cell_length_a 4.597
_cell_length_b 4.597
_cell_length_c 4.597
_cell_angle_alpha 60.00
_cell_angle_beta 60.00
_cell_angle_gamma 60.00
loop_
_atom_site_label
_atom_site_type_symbol
_atom_site_fract_x
_atom_site_fract_y
_atom_site_fract_z
W1 W 0.500 0.500 0.500
Ag1 Ag 0.000 0.000 0.000
Cl1 Cl 0.750 0.750 0.750
Cl2 Cl 0.250 0.250 0.250



# AgWCl2 (PBE, optimized geometry)
# **ΔE_f (raw)**: 30 kJ per mole of atoms
# **Distance to the lowest polymorph of the same formula**: 25.3 kJ per mole of atoms
data_AgWCl2
_chemical_formula_sum 'Ag1 W1 Cl2'
_symmetry_space_group_name_H-M 'P 1'
_symmetry_Int_Tables_number 1
_symmetry_space_group_name_Hall 'P 1'
_cell_length_a 3.020
_cell_length_b 3.020
_cell_length_c 8.264
_cell_angle_alpha 90.00
_cell_angle_beta 90.00
_cell_angle_gamma 90.00
loop_
_atom_site_label
_atom_site_type_symbol
_atom_site_fract_x
_atom_site_fract_y
_atom_site_fract_z
Cl1 Cl 0.000 0.000 0.945
Cl2 Cl 0.500 0.500 0.318
W1 W 0.000 0.000 0.499
Ag1 Ag 0.500 0.500 0.737